This record from Alexandria describes an optimized crystal structure of Ca6Tl2N. The functional is PBE.

Output
Its symmetry is Amm2, No. 38. The final energy is -3.13 eV/atom. The density of states at the Fermi level comes out at 0.467 states/eV per atom.

Cell: 3.571 9.152 9.312 Å, 119.43 90.00 90.00°
Fractional positions:
Tl 0.000 0.689 0.337
Tl 0.000 0.352 0.663
Ca 0.500 0.551 0.000
Ca 0.000 0.181 0.000
Ca 0.500 0.441 0.422
Ca 0.000 0.794 0.805
Ca 0.000 0.989 0.195
Ca 0.500 0.019 0.578
N 0.500 0.985 0.000

***

This record from Alexandria describes an optimized crystal structure of Ca4Tl2N. The functional is PBE.

Output
Its symmetry is I4/mmm, No. 139. The final energy is -3.46 eV/atom. The density of states at the Fermi level comes out at 1.123 states/eV per atom.

Cell: 4.919 4.919 8.844 Å, 73.85 73.85 90.00°
Fractional positions:
N 0.000 0.000 0.000
Tl 0.356 0.356 0.288
Tl 0.644 0.644 0.712
Ca 0.154 0.154 0.692
Ca 0.000 0.500 0.000
Ca 0.500 0.000 0.000
Ca 0.846 0.846 0.308

***

This record from Alexandria describes an optimized crystal structure of Ca4TlN. The functional is PBE.

Output
Its symmetry is Cmcm, No. 63. The final energy is -3.67 eV/atom. The density of states at the Fermi level comes out at 0.280 states/eV per atom.

Cell: 5.085 7.072 9.439 Å, 90.00 105.63 90.00°
Fractional positions:
Ca 0.000 0.000 0.000
Ca 0.181 0.510 0.362
Ca 0.000 0.500 0.000
Ca 0.181 0.990 0.362
Ca 0.586 0.750 0.173
Ca 0.414 0.250 0.827
Ca 0.819 0.490 0.638
Ca 0.819 0.010 0.638
Tl 0.383 0.750 0.765
Tl 0.617 0.250 0.235
N 0.094 0.750 0.187
N 0.906 0.250 0.813

***

This record from Alexandria describes an optimized crystal structure of Ca2Tl2N. The functional is PBE.

Output
Its symmetry is C2/m, No. 12. The final energy is -3.97 eV/atom. The density of states at the Fermi level comes out at 0.589 states/eV per atom.

Cell: 3.601 3.601 10.865 Å, 90.00 90.00 59.97°
Fractional positions:
Ca 0.667 0.667 0.885
Ca 0.333 0.333 0.115
Tl 0.665 0.665 0.379
Tl 0.335 0.335 0.621
N 0.000 0.000 0.000

***

This record from Alexandria describes an optimized crystal structure of Ca2TlZnN. The functional is PBE.

Output
Its symmetry is P4/mmm, No. 123. The final energy is -3.59 eV/atom. The density of states at the Fermi level comes out at 0.438 states/eV per atom.

Cell: 5.064 5.064 4.083 Å, 90.00 90.00 90.00°
Fractional positions:
Ca 0.000 0.500 0.000
Ca 0.500 0.000 0.000
N 0.000 0.000 0.000
Zn 0.000 0.000 0.500
Tl 0.500 0.500 0.500

***

This record from Alexandria describes an optimized crystal structure of CaZr2TlN. The functional is PBE.

Output
Its symmetry is P4/mmm, No. 123. The final energy is -6.64 eV/atom. The density of states at the Fermi level comes out at 0.607 states/eV per atom.

Cell: 4.533 4.533 4.853 Å, 90.00 90.00 90.00°
Fractional positions:
Ca 0.000 0.000 0.500
N 0.000 0.000 0.000
Zr 0.000 0.500 0.000
Zr 0.500 0.000 0.000
Tl 0.500 0.500 0.500

***

This record from Alexandria describes an optimized crystal structure of CaTmN. The functional is PBE.

Output
Its symmetry is P3m1, No. 156. The final energy is -5.89 eV/atom. The density of states at the Fermi level comes out at 0.537 states/eV per atom.

Cell: 6.022 3.519 3.519 Å, 120.00 90.00 90.00°
Fractional positions:
Tm 0.125 0.000 0.000
Ca 0.573 0.667 0.333
N 0.302 0.333 0.667

***

This record from Alexandria describes an optimized crystal structure of Ca2TmN. The functional is PBE.

Output
Its symmetry is R-3m, No. 166. The final energy is -4.60 eV/atom. The density of states at the Fermi level comes out at 0.454 states/eV per atom.

Cell: 3.502 3.502 10.001 Å, 79.92 79.92 60.00°
Fractional positions:
Ca 0.123 0.123 0.630
Ca 0.877 0.877 0.370
N 0.500 0.500 0.500
Tm 0.000 0.000 0.000

***

This record from Alexandria describes an optimized crystal structure of CaTmN. The functional is PBE.

Output
Its symmetry is Cmcm, No. 63. The final energy is -5.84 eV/atom. The density of states at the Fermi level comes out at 0.419 states/eV per atom.

Cell: 3.716 4.797 16.974 Å, 90.00 90.00 90.00°
Fractional positions:
N 0.750 0.250 0.962
N 0.750 0.750 0.538
N 0.250 0.250 0.462
N 0.250 0.750 0.038
Tm 0.250 0.750 0.465
Tm 0.750 0.250 0.535
Tm 0.250 0.250 0.035
Tm 0.750 0.750 0.965
Ca 0.750 0.250 0.825
Ca 0.250 0.250 0.325
Ca 0.250 0.750 0.175
Ca 0.750 0.750 0.675

***

This record from Alexandria describes an optimized crystal structure of CaTm5N6. The functional is PBE.

Output
Its symmetry is C2/m, No. 12. The final energy is -7.79 eV/atom. The density of states at the Fermi level comes out at 0.497 states/eV per atom.

Cell: 5.925 5.925 5.921 Å, 99.62 99.62 120.00°
Fractional positions:
N 0.085 0.431 0.255
N 0.260 0.260 0.742
N 0.915 0.569 0.745
N 0.431 0.085 0.255
N 0.740 0.740 0.258
N 0.569 0.915 0.745
Tm 0.667 0.333 0.000
Tm 0.333 0.667 0.000
Tm 0.834 0.166 0.500
Tm 0.500 0.500 0.500
Tm 0.166 0.834 0.500
Ca 0.000 0.000 0.000

***

This record from Alexandria describes an optimized crystal structure of Ca3TmU3N8. The functional is PBE.

Output
Its symmetry is R-3m, No. 166. The final energy is -8.67 eV/atom. The density of states at the Fermi level comes out at 0.607 states/eV per atom.

Cell: 6.926 6.926 6.948 Å, 119.90 90.00 120.00°
Fractional positions:
Ca 0.000 0.000 0.000
Ca 0.500 0.500 0.000
Ca 0.000 0.500 0.000
N 0.722 0.957 0.693
N 0.278 0.043 0.307
N 0.235 0.957 0.693
N 0.765 0.529 0.307
N 0.235 0.471 0.693
N 0.742 0.483 0.725
N 0.765 0.043 0.307
N 0.258 0.517 0.275
U 0.000 0.500 0.500
U 0.500 0.000 0.500
U 0.500 0.500 0.500
Tm 0.000 0.000 0.500

***

This record from Alexandria describes an optimized crystal structure of CaTm2UN4. The functional is PBE.

Output
Its symmetry is P2/m, No. 10. The final energy is -8.47 eV/atom. The density of states at the Fermi level comes out at 0.551 states/eV per atom.

Cell: 3.442 5.920 5.919 Å, 71.58 90.00 90.00°
Fractional positions:
N 0.500 0.254 0.779
N 0.000 0.754 0.757
N 0.500 0.746 0.221
N 0.000 0.246 0.243
Tm 0.000 0.000 0.000
Tm 0.500 0.000 0.500
U 0.500 0.500 0.000
Ca 0.000 0.500 0.500

***

This record from Alexandria describes an optimized crystal structure of Ca2TmUN4. The functional is PBE.

Output
Its symmetry is P2/m, No. 10. The final energy is -8.08 eV/atom. The density of states at the Fermi level comes out at 0.334 states/eV per atom.

Cell: 3.504 5.941 6.006 Å, 108.85 90.00 90.00°
Fractional positions:
U 0.000 0.000 0.000
N 0.500 0.770 0.783
N 0.000 0.242 0.787
N 0.000 0.758 0.213
N 0.500 0.230 0.217
Tm 0.500 0.500 0.000
Ca 0.500 0.000 0.500
Ca 0.000 0.500 0.500

***

This record from Alexandria describes an optimized crystal structure of CaTmZnN2. The functional is PBE.

Output
Its symmetry is P2/c, No. 13. The final energy is -5.51 eV/atom. The density of states at the Fermi level comes out at 0.527 states/eV per atom.

Cell: 5.286 5.264 6.398 Å, 90.01 90.00 90.00°
Fractional positions:
Zn 0.000 0.000 0.500
Zn 0.000 0.000 0.000
Ca 0.001 0.500 0.750
Ca 0.999 0.500 0.250
N 0.273 0.774 0.500
N 0.727 0.774 0.000
N 0.727 0.226 0.500
N 0.273 0.226 0.000
Tm 0.500 0.000 0.250
Tm 0.500 0.000 0.750

***

This record from Alexandria describes an optimized crystal structure of CaTm2Zr3N6. The functional is PBE.

Output
Its symmetry is C2/m, No. 12. The final energy is -8.91 eV/atom. The density of states at the Fermi level comes out at 0.246 states/eV per atom.

Cell: 3.317 6.701 7.466 Å, 103.68 102.84 90.00°
Fractional positions:
N 0.327 0.922 0.655
N 0.673 0.078 0.345
N 0.997 0.267 0.994
N 0.003 0.733 0.006
N 0.335 0.411 0.671
N 0.665 0.589 0.329
Ca 0.500 0.000 0.000
Tm 0.166 0.331 0.332
Tm 0.834 0.669 0.668
Zr 0.166 0.833 0.331
Zr 0.500 0.500 0.000
Zr 0.834 0.167 0.669

***

This record from Alexandria describes an optimized crystal structure of Ca3TmZr2N6. The functional is PBE.

Output
Its symmetry is C2/m, No. 12. The final energy is -7.83 eV/atom. The density of states at the Fermi level comes out at 0.628 states/eV per atom.

Cell: 5.839 5.839 5.975 Å, 99.38 99.38 120.02°
Fractional positions:
N 0.927 0.582 0.781
N 0.271 0.271 0.780
N 0.073 0.418 0.219
N 0.418 0.073 0.219
N 0.729 0.729 0.220
N 0.582 0.927 0.781
Tm 0.000 0.000 0.000
Ca 0.167 0.833 0.500
Ca 0.500 0.500 0.500
Ca 0.833 0.167 0.500
Zr 0.333 0.667 0.000
Zr 0.667 0.333 0.000

***

This record from Alexandria describes an optimized crystal structure of Ca2UN. The functional is PBE.

Output
Its symmetry is R-3m, No. 166. The final energy is -5.98 eV/atom. The density of states at the Fermi level comes out at 1.213 states/eV per atom.

Cell: 3.351 3.351 10.056 Å, 80.41 80.41 60.00°
Fractional positions:
Ca 0.878 0.878 0.367
Ca 0.122 0.122 0.633
N 0.500 0.500 0.500
U 0.000 0.000 0.000

***

This record from Alexandria describes an optimized crystal structure of Ca3U2N4. The functional is PBE.

Output
Its symmetry is C2/m, No. 12. The final energy is -7.87 eV/atom. The density of states at the Fermi level comes out at 0.978 states/eV per atom.

Cell: 3.558 6.207 7.627 Å, 77.42 76.51 73.35°
Fractional positions:
Ca 0.801 0.596 0.802
Ca 0.199 0.404 0.198
Ca 0.000 0.000 0.000
U 0.400 0.813 0.386
U 0.600 0.187 0.614
N 0.796 0.075 0.333
N 0.582 0.708 0.128
N 0.418 0.292 0.872
N 0.204 0.925 0.667

***

This record from Alexandria describes an optimized crystal structure of CaUN3. The functional is PBE.

Output
Its symmetry is Pnma, No. 62. The final energy is -8.67 eV/atom. The density of states at the Fermi level comes out at 0.819 states/eV per atom.

Cell: 5.853 5.929 8.268 Å, 90.00 90.00 90.00°
Fractional positions:
U 0.500 0.000 0.500
U 0.000 0.500 0.500
U 0.000 0.500 0.000
U 0.500 0.000 0.000
N 0.205 0.785 0.451
N 0.907 0.465 0.250
N 0.795 0.215 0.951
N 0.795 0.215 0.549
N 0.705 0.715 0.549
N 0.093 0.535 0.750
N 0.593 0.965 0.250
N 0.205 0.785 0.049
N 0.295 0.285 0.451
N 0.295 0.285 0.049
N 0.407 0.035 0.750
N 0.705 0.715 0.951
Ca 0.989 0.963 0.750
Ca 0.011 0.037 0.250
Ca 0.489 0.537 0.250
Ca 0.511 0.463 0.750

***

This record from Alexandria describes an optimized crystal structure of CaUN. The functional is PBE.

Output
Its symmetry is P-6m2, No. 187. The final energy is -7.47 eV/atom. The density of states at the Fermi level comes out at 1.305 states/eV per atom.

Cell: 3.264 3.264 13.028 Å, 90.00 90.00 120.00°
Fractional positions:
N 0.612 0.223 0.000
N 0.277 0.555 0.500
Ca 0.611 0.221 0.395
Ca 0.611 0.221 0.605
U 0.278 0.556 0.882
U 0.278 0.556 0.118